Material: MgVBi2O6
Method: DFT, PBE+U
State: optimized geometry

Computed properties:
The calculation puts the total energy at -0.23593 hartree per atom. The magnetization comes out at 0.1000 μB/atom. The value obtained for the calculated volume is 248.6 Å³ per cell.

abc: 5.446 5.755 7.932
angles: 90.00 90.07 90.00
Each line ends with the local moment (μB).
Atoms (fractional coordinates):
Mg 0.500 0.000 0.000  0.00
Mg 0.000 0.500 0.500  0.00
V 0.500 0.000 0.500  1.04
V 0.000 0.500 0.000  1.04
Bi 0.001 0.941 0.268  0.01
Bi 0.501 0.559 0.768  0.01
Bi 0.999 0.059 0.732  0.01
Bi 0.499 0.441 0.232  0.01
O 0.314 0.684 0.030  0.00
O 0.814 0.816 0.530  0.00
O 0.686 0.316 0.970  0.00
O 0.186 0.184 0.470  0.00
O 0.318 0.725 0.450  -0.04
O 0.818 0.775 0.950  -0.04
O 0.682 0.275 0.550  -0.04
O 0.182 0.225 0.050  -0.04
O 0.908 0.536 0.245  -0.01
O 0.408 0.964 0.745  -0.01
O 0.092 0.464 0.755  -0.01
O 0.592 0.036 0.255  -0.01